1.
Pr2Dy9Tl | PBE | relaxed

Results
D(E_F) ... 15.6 states/eV/cell
DFT formation energy ... -0.0318 eV/atom
Space group ... P4/mmm, No. 123
Raw total energy ... -4.477 eV/atom

Unit cell a=4.9721 b=4.9721 c=15.1991 alpha=90.00 beta=90.00 gamma=90.00
Fractional positions:
1 Dy 0.5000 0.5000 0.6733
2 Tl 0.0000 0.0000 0.0000
3 Dy 0.5000 0.0000 0.5000
4 Dy 0.5000 0.5000 0.0000
5 Dy 0.0000 0.5000 0.1603
6 Dy 0.5000 0.0000 0.1603
7 Pr 0.0000 0.0000 0.3325
8 Dy 0.5000 0.0000 0.8397
9 Dy 0.0000 0.5000 0.5000
10 Dy 0.5000 0.5000 0.3267
11 Dy 0.0000 0.5000 0.8397
12 Pr 0.0000 0.0000 0.6675

***

2.
NaMg2Ga4 | PBE | relaxed

Results
D(E_F) ... 1.6 states/eV/cell
DFT formation energy ... -0.1259 eV/atom
Space group ... Immm, No. 71
Raw total energy ... -2.500 eV/atom

Unit cell a=4.3596 b=3.4336 c=9.7839 alpha=100.11 beta=102.87 gamma=90.00
Fractional positions:
1 Ga 0.9288 0.4288 0.8576
2 Ga 0.6486 0.6486 0.2972
3 Mg 0.7988 0.7988 0.5976
4 Ga 0.0712 0.5712 0.1424
5 Ga 0.3514 0.3514 0.7028
6 Na 0.5000 0.0000 0.0000
7 Mg 0.2012 0.2012 0.4024